Entry from Alexandria via LeMat-Bulk: a relaxed Tm2MnHRh6 crystal (PBE).

abc: 5.5983 5.5983 16.9331
angles: 90.00 90.00 120.00
With the nearest neighbours (Å) after each atom.
Space group R-3m (No. 166, hexagonal axes)
Unique sites:
Tm: 0.0000 0.0000 0.2212 (multiplicity 6)  9 Rh 2.91-3.11
Mn: 0.0000 0.0000 0.5000 (multiplicity 3)  6 Rh 2.37
H: 0.0000 0.0000 0.0000 (multiplicity 3)  6 Rh 1.95
Rh: 0.0014 0.5007 0.2691 (multiplicity 18)  1 H 1.95

The value obtained for the total energy is -6.97 eV per atom. The calculation puts the magnetization at 0.48 μB per formula unit. For the density, the calculation gives 10961 kg/m3. The calculation puts the calculated volume at 460 Å³ per cell.